Record 1
Density functional theory data (PBE-GGA) for a relaxed structure of CuBiMo3.

The formation energy from the elements is 2.701 eV per atom. The raw total energy is -5.393 eV/atom. The total magnetization comes out at 0.00 μB per cell.

The structure belongs to space group Pm-3m (No. 221); the cell edges are 5.0115, 5.0115 and 5.0115 Å and the angles 90.00°, 90.00° and 90.00°. The distinct sites, in fractional coordinates, are Cu at (0.0000, 0.0000, 0.0000), Bi at (0.5000, 0.5000, 0.5000) and Mo at (0.0000, 0.5000, 0.5000).



Record 2
Density functional theory data (PBE-GGA) for a relaxed structure of Na5CdAu.

The formation energy from the elements is -0.131 eV per atom. The raw total energy is -1.672 eV/atom. The total magnetization comes out at 0.00 μB per cell.

The structure belongs to space group C2/c (No. 15); the cell edges are 17.0170, 8.0294 and 6.2244 Å and the angles 90.00°, 110.19° and 90.00°. The distinct sites, in fractional coordinates, are Na at (0.0000, 0.1456, 0.2500), Na at (0.1111, 0.4973, 0.1126), Na at (0.1713, 0.1145, 0.9214), Cd at (0.2500, 0.2500, 0.5000) and Au at (0.0000, 0.2554, 0.7500).



The lowest formation energy from the elements belongs to which entry? Na5CdAu